The following is a DFT calculation (GGA-PBEsol) of an optimized crystal structure of MnCdHg.

POSCAR file:
```
MnCdHg
1.0
-0.814 1.726 2.359
0.166 -2.418 1.826
5.981 1.546 -1.018
Cd Hg Mn
1 1 1
direct
0.990 0.990 0.979
0.678 0.678 0.356
0.332 0.332 0.665
```

Properties
DFT formation energy: 0.256 eV/atom

=====

The following is a DFT calculation (GGA-PBEsol) of an optimized crystal structure of MnCdHg.

POSCAR file:
```
MnCdHg
1.0
-2.086 -1.786 1.227
3.034 -2.463 1.574
-0.402 4.513 2.199
Cd Hg Mn
1 1 1
direct
0.003 0.003 0.006
0.331 0.331 0.662
0.666 0.666 0.332
```

Properties
DFT formation energy: 0.321 eV/atom

=====

The following is a DFT calculation (GGA-PBEsol) of an optimized crystal structure of CdHg2Mo.

POSCAR file:
```
CdHg2Mo
1.0
-1.493 -3.004 -3.389
2.674 -0.738 -3.878
2.203 -4.184 -0.616
Cd Hg Mo
1 2 1
direct
0.500 0.500 0.500
0.000 0.000 0.000
0.750 0.750 0.750
0.250 0.250 0.250
```

Properties
DFT formation energy: 0.660 eV/atom

=====

The following is a DFT calculation (GGA-PBEsol) of an optimized crystal structure of CdHg3Mo.

POSCAR file:
```
CdHg3Mo
1.0
-3.556 -3.408 1.878
1.912 -3.746 -3.178
3.389 -1.463 3.763
Mo Hg Cd
1 3 1
direct
0.500 0.500 0.500
0.000 0.500 0.000
0.000 0.000 0.500
0.500 0.000 0.000
0.000 0.000 0.000
```

Properties
DFT formation energy: 1.278 eV/atom

=====

The following is a DFT calculation (GGA-PBEsol) of an optimized crystal structure of Cd3HgMo.

POSCAR file:
```
Cd3HgMo
1.0
-0.810 -3.752 -3.498
4.529 -2.185 1.295
-2.408 -2.849 3.613
Mo Hg Cd
1 1 3
direct
0.500 0.500 0.500
0.000 0.000 0.000
0.000 0.500 0.000
0.000 0.000 0.500
0.500 0.000 0.000
```

Properties
DFT formation energy: 1.292 eV/atom

=====

The following is a DFT calculation (GGA-PBEsol) of an optimized crystal structure of Cd3HgN.

POSCAR file:
```
Cd3HgN
1.0
4.585 0.000 0.000
0.000 4.585 0.000
0.000 0.000 4.585
N Hg Cd
1 1 3
direct
0.000 0.000 0.000
0.500 0.500 0.500
0.000 0.500 0.000
0.000 0.000 0.500
0.500 0.000 0.000
```

Properties
Uncorrected formation energy: 0.362 eV per atom

=====

The following is a DFT calculation (GGA-PBEsol) of an optimized crystal structure of CdHgSN2.

POSCAR file:
```
CdHgSN2
1.0
4.150 0.000 0.000
0.000 4.150 0.000
0.000 0.000 5.472
S N Hg Cd
1 2 1 1
direct
0.000 0.000 0.500
0.000 0.500 0.000
0.500 0.000 0.000
0.500 0.500 0.500
0.000 0.000 0.000
```

Properties
Uncorrected formation energy: 1.643 eV per atom

=====

The following is a DFT calculation (GGA-PBEsol) of an optimized crystal structure of CdHgS2N.

POSCAR file:
```
CdHgS2N
1.0
-0.362 0.885 -3.911
-3.123 -3.955 -0.606
-3.975 2.979 1.042
S N Hg Cd
2 1 1 1
direct
0.000 0.000 0.500
0.000 0.500 0.000
0.500 0.000 0.000
0.000 0.000 0.000
0.500 0.500 0.500
```

Properties
Uncorrected formation energy: 1.113 eV per atom

=====

VASP energy values, unit eV per atom, following the record order: -3.586 -3.521 -2.865 -1.655 -1.893 -2.175 -2.998 -2.699.